1.
# SrScIn | the Alexandria database | GGA-PBEsol | relaxed
# DOS(E_F): 3.77 states/eV per cell
# E_form: 0 meV per atom
# Space-group type: P3m1 (156)
data_SrScIn
_chemical_formula_sum 'Sr1 Sc1 In1'
_cell_length_a 3.603
_cell_length_b 3.603
_cell_length_c 7.995
_cell_angle_alpha 90.00
_cell_angle_beta 90.00
_cell_angle_gamma 120.00
_space_group_name_H-M_alt 'P 1'
_space_group_IT_number 1
loop_
_space_group_symop_operation_xyz
'x,y,z'
loop_
_atom_site_label
_atom_site_type_symbol
_atom_site_fract_x
_atom_site_fract_y
_atom_site_fract_z
_atom_site_occupancy
In1 In 0.000 0.000 0.980 1
Sc1 Sc 0.333 0.667 0.704 1
Sr1 Sr 0.667 0.333 0.316 1

2.
# Pr4MgCo | the Alexandria database | GGA-PBEsol | relaxed
# DOS(E_F): 21.78 states/eV per cell
# E_form: -78 meV per atom
# Space-group type: F-43m (216)
data_Pr4MgCo
_chemical_formula_sum 'Pr16 Mg4 Co4'
_cell_length_a 9.782
_cell_length_b 9.782
_cell_length_c 9.782
_cell_angle_alpha 60.00
_cell_angle_beta 60.00
_cell_angle_gamma 60.00
_space_group_name_H-M_alt 'P 1'
_space_group_IT_number 1
loop_
_space_group_symop_operation_xyz
'x,y,z'
loop_
_atom_site_label
_atom_site_type_symbol
_atom_site_fract_x
_atom_site_fract_y
_atom_site_fract_z
_atom_site_occupancy
Pr1 Pr 0.094 0.717 0.094 1
Pr2 Pr 0.689 0.311 0.689 1
Pr3 Pr 0.717 0.094 0.094 1
Pr4 Pr 0.689 0.689 0.311 1
Pr5 Pr 0.689 0.311 0.311 1
Pr6 Pr 0.562 0.938 0.938 1
Pr7 Pr 0.938 0.562 0.562 1
Pr8 Pr 0.562 0.938 0.562 1
Pr9 Pr 0.311 0.689 0.311 1
Pr10 Pr 0.562 0.562 0.938 1
Pr11 Pr 0.094 0.094 0.717 1
Pr12 Pr 0.938 0.562 0.938 1
Pr13 Pr 0.311 0.689 0.689 1
Pr14 Pr 0.311 0.311 0.689 1
Pr15 Pr 0.938 0.938 0.562 1
Pr16 Pr 0.094 0.094 0.094 1
Mg1 Mg 0.013 0.329 0.329 1
Mg2 Mg 0.329 0.013 0.329 1
Mg3 Mg 0.329 0.329 0.329 1
Mg4 Mg 0.329 0.329 0.013 1
Co1 Co 0.891 0.891 0.327 1
Co2 Co 0.327 0.891 0.891 1
Co3 Co 0.891 0.327 0.891 1
Co4 Co 0.891 0.891 0.891 1

3.
# Mo2IrAu | the Alexandria database | GGA-PBEsol | relaxed
# DOS(E_F): 3.16 states/eV per cell
# E_form: 58 meV per atom
# Space-group type: Cm (8)
data_Mo2IrAu
_chemical_formula_sum 'Mo2 Ir1 Au1'
_cell_length_a 2.751
_cell_length_b 4.807
_cell_length_c 4.882
_cell_angle_alpha 99.36
_cell_angle_beta 90.00
_cell_angle_gamma 106.63
_space_group_name_H-M_alt 'P 1'
_space_group_IT_number 1
loop_
_space_group_symop_operation_xyz
'x,y,z'
loop_
_atom_site_label
_atom_site_type_symbol
_atom_site_fract_x
_atom_site_fract_y
_atom_site_fract_z
_atom_site_occupancy
Au1 Au 0.500 0.000 0.493 1
Ir1 Ir 0.257 0.514 0.774 1
Mo1 Mo 0.997 0.994 0.983 1
Mo2 Mo 0.746 0.493 0.250 1

4.
# La4P9Rh8 | the Alexandria database | GGA-PBEsol | relaxed
# DOS(E_F): 16.89 states/eV per cell
# E_form: -1168 meV per atom
# Space-group type: Cmcm (63)
data_La4P9Rh8
_chemical_formula_sum 'La8 P18 Rh16'
_cell_length_a 5.722
_cell_length_b 11.427
_cell_length_c 11.427
_cell_angle_alpha 110.98
_cell_angle_beta 90.00
_cell_angle_gamma 90.00
_space_group_name_H-M_alt 'P 1'
_space_group_IT_number 1
loop_
_space_group_symop_operation_xyz
'x,y,z'
loop_
_atom_site_label
_atom_site_type_symbol
_atom_site_fract_x
_atom_site_fract_y
_atom_site_fract_z
_atom_site_occupancy
La1 La 0.750 0.360 0.640 1
La2 La 0.250 0.640 0.360 1
La3 La 0.750 0.411 0.140 1
La4 La 0.250 0.140 0.411 1
La5 La 0.250 0.589 0.860 1
La6 La 0.750 0.860 0.589 1
La7 La 0.750 0.889 0.111 1
La8 La 0.250 0.111 0.889 1
P1 P 0.750 0.574 0.426 1
P2 P 0.250 0.426 0.574 1
P3 P 0.750 0.645 0.788 1
P4 P 0.250 0.788 0.645 1
P5 P 0.250 0.355 0.212 1
P6 P 0.750 0.212 0.355 1
P7 P 0.998 0.365 0.883 1
P8 P 0.002 0.883 0.365 1
P9 P 0.502 0.365 0.883 1
P10 P 0.498 0.883 0.365 1
P11 P 0.002 0.635 0.117 1
P12 P 0.998 0.117 0.635 1
P13 P 0.498 0.635 0.117 1
P14 P 0.502 0.117 0.635 1
P15 P 0.750 0.145 0.016 1
P16 P 0.250 0.016 0.145 1
P17 P 0.250 0.855 0.984 1
P18 P 0.750 0.984 0.855 1
Rh1 Rh 0.000 0.606 0.606 1
Rh2 Rh 0.500 0.606 0.606 1
Rh3 Rh 0.000 0.394 0.394 1
Rh4 Rh 0.500 0.394 0.394 1
Rh5 Rh 0.750 0.707 0.293 1
Rh6 Rh 0.250 0.293 0.707 1
Rh7 Rh 0.750 0.184 0.816 1
Rh8 Rh 0.250 0.816 0.184 1
Rh9 Rh 0.750 0.547 0.940 1
Rh10 Rh 0.250 0.940 0.547 1
Rh11 Rh 0.250 0.453 0.060 1
Rh12 Rh 0.750 0.060 0.453 1
Rh13 Rh 0.000 0.819 0.819 1
Rh14 Rh 0.500 0.819 0.819 1
Rh15 Rh 0.000 0.181 0.181 1
Rh16 Rh 0.500 0.181 0.181 1

5.
# La3ReCl3O6 | the Alexandria database | GGA-PBEsol | relaxed
# Space-group type: P6_3/m (176)
# Energy relative to the elements, uncorrected: -2712 meV per atom
data_La3ReCl3O6
_chemical_formula_sum 'La6 Re2 Cl6 O12'
_cell_length_a 5.388
_cell_length_b 9.334
_cell_length_c 9.334
_cell_angle_alpha 120.00
_cell_angle_beta 90.00
_cell_angle_gamma 90.00
_space_group_name_H-M_alt 'P 1'
_space_group_IT_number 1
loop_
_space_group_symop_operation_xyz
'x,y,z'
loop_
_atom_site_label
_atom_site_type_symbol
_atom_site_fract_x
_atom_site_fract_y
_atom_site_fract_z
_atom_site_occupancy
Re1 Re 0.750 0.667 0.333 1
Re2 Re 0.250 0.333 0.667 1
Cl1 Cl 0.750 0.952 0.192 1
Cl2 Cl 0.250 0.048 0.808 1
Cl3 Cl 0.750 0.808 0.760 1
Cl4 Cl 0.250 0.192 0.240 1
Cl5 Cl 0.750 0.240 0.048 1
Cl6 Cl 0.250 0.760 0.952 1
O1 O 0.520 0.638 0.162 1
O2 O 0.480 0.362 0.838 1
O3 O 0.520 0.838 0.476 1
O4 O 0.020 0.362 0.838 1
O5 O 0.480 0.162 0.524 1
O6 O 0.980 0.638 0.162 1
O7 O 0.520 0.524 0.362 1
O8 O 0.020 0.162 0.524 1
O9 O 0.480 0.476 0.638 1
O10 O 0.980 0.838 0.476 1
O11 O 0.020 0.476 0.638 1
O12 O 0.980 0.524 0.362 1
La1 La 0.750 0.312 0.404 1
La2 La 0.250 0.688 0.596 1
La3 La 0.750 0.596 0.907 1
La4 La 0.250 0.404 0.093 1
La5 La 0.750 0.093 0.688 1
La6 La 0.250 0.907 0.312 1

6.
# CaY2Zn2 | the Alexandria database | GGA-PBEsol | relaxed
# DOS(E_F): 12.52 states/eV per cell
# E_form: -203 meV per atom
# Space-group type: P4/mbm (127)
data_CaY2Zn2
_chemical_formula_sum 'Ca2 Y4 Zn4'
_cell_length_a 3.681
_cell_length_b 8.212
_cell_length_c 8.212
_cell_angle_alpha 90.00
_cell_angle_beta 90.00
_cell_angle_gamma 90.00
_space_group_name_H-M_alt 'P 1'
_space_group_IT_number 1
loop_
_space_group_symop_operation_xyz
'x,y,z'
loop_
_atom_site_label
_atom_site_type_symbol
_atom_site_fract_x
_atom_site_fract_y
_atom_site_fract_z
_atom_site_occupancy
Y1 Y 0.500 0.162 0.662 1
Y2 Y 0.500 0.662 0.838 1
Y3 Y 0.500 0.838 0.338 1
Y4 Y 0.500 0.338 0.162 1
Zn1 Zn 0.000 0.370 0.870 1
Zn2 Zn 0.000 0.870 0.630 1
Zn3 Zn 0.000 0.630 0.130 1
Zn4 Zn 0.000 0.130 0.370 1
Ca1 Ca 0.000 0.000 0.000 1
Ca2 Ca 0.000 0.500 0.500 1

| no. | DFT total energy (eV per atom) | size of the total moment (μB/atom) |
| --- | --- | --- |
| 1 | -3.81 | 0.072 |
| 2 | -5.11 | 0.000 |
| 3 | -9.26 | 0.000 |
| 4 | -7.77 | 0.000 |
| 5 | -7.86 | 0.077 |
| 6 | -3.99 | 0.000 |